This record from Alexandria describes crystalline CrMoP3 at its relaxed geometry. The functional is PBE.

Unit cell a=4.424 b=4.424 c=4.424 alpha=90.00 beta=90.00 gamma=90.00
Fractional coordinates of all 5 atoms:
1 Cr 0.000 0.000 0.000
2 Mo 0.500 0.500 0.500
3 P 0.000 0.000 0.500
4 P 0.000 0.500 0.000
5 P 0.500 0.000 0.000

## Properties
calculated total energy: -6.544 eV per atom
space group: No. 221
energy relative to the lowest polymorph listed for this composition: 0.0 meV per atom
ΔH_f (0 K): 0.793 eV per atom
calculated volume: 17.314 A^3/atom



This record from Alexandria describes crystalline Nd8CdIn5 at its relaxed geometry. The functional is PBE.

Unit cell a=8.314 b=8.314 c=8.314 alpha=109.55 beta=109.55 gamma=109.31
Fractional coordinates of all 14 atoms:
1 Nd 0.126 0.224 0.753
2 Nd 0.131 0.731 0.755
3 Nd 0.269 0.024 0.400
4 Nd 0.471 0.373 0.247
5 Nd 0.624 0.869 0.600
6 Nd 0.627 0.874 0.098
7 Nd 0.776 0.529 0.902
8 Nd 0.976 0.376 0.245
9 Cd 0.750 0.250 0.500
10 In 0.000 0.000 0.000
11 In 0.252 0.627 0.124
12 In 0.373 0.496 0.624
13 In 0.504 0.128 0.876
14 In 0.872 0.748 0.376

## Properties
calculated total energy: -4.072 eV per atom
space group: No. 82
ΔH_f (0 K): -0.304 eV per atom
calculated volume: 31.603 A^3/atom



This record from Alexandria describes crystalline K2ZrTlSe4 at its relaxed geometry. The functional is PBE.

Unit cell a=7.526 b=4.099 c=7.943 alpha=90.00 beta=107.05 gamma=90.00
Fractional coordinates of all 8 atoms:
1 K 0.000 0.000 0.000
2 K 0.500 0.500 0.000
3 Zr 0.000 0.500 0.500
4 Tl 0.500 0.000 0.500
5 Se 0.209 0.000 0.700
6 Se 0.232 0.500 0.298
7 Se 0.768 0.500 0.702
8 Se 0.791 0.000 0.300

## Properties
E_form (uncorrected): -1.05 eV/atom
calculated total energy: -4.427 eV per atom
space group: No. 10
calculated volume: 29.280 A^3/atom



This record from Alexandria describes crystalline PrSb2Au2 at its relaxed geometry. The functional is PBE.

Unit cell a=12.345 b=12.345 c=4.473 alpha=90.00 beta=90.00 gamma=159.04
Fractional coordinates of all 10 atoms:
1 Pr 0.146 0.854 0.750
2 Pr 0.854 0.146 0.250
3 Sb 0.250 0.750 0.250
4 Sb 0.387 0.613 0.750
5 Sb 0.613 0.387 0.250
6 Sb 0.750 0.250 0.750
7 Au 0.040 0.960 0.250
8 Au 0.460 0.540 0.250
9 Au 0.540 0.460 0.750
10 Au 0.960 0.040 0.750

## Properties
E_form (uncorrected): -0.56 eV/atom
calculated total energy: -4.472 eV per atom
space group: No. 63
calculated volume: 24.384 A^3/atom



This record from Alexandria describes crystalline Dy4Sb2SeS at its relaxed geometry. The functional is PBE.

Unit cell a=7.259 b=4.199 c=7.265 alpha=90.00 beta=109.56 gamma=90.00
Fractional coordinates of all 8 atoms:
1 Dy 0.229 0.000 0.236
2 Dy 0.233 0.500 0.751
3 Dy 0.767 0.500 0.249
4 Dy 0.771 0.000 0.764
5 Sb 0.500 0.000 0.000
6 Sb 0.500 0.500 0.500
7 Se 0.000 0.000 0.500
8 S 0.000 0.500 0.000

## Properties
E_form (uncorrected): -1.48 eV/atom
calculated total energy: -5.760 eV per atom
space group: No. 10
calculated volume: 26.084 A^3/atom



This record from Alexandria describes crystalline Ir4W5 at its relaxed geometry. The functional is PBE.

Unit cell a=6.249 b=6.249 c=6.249 alpha=95.73 beta=95.73 gamma=143.14
Fractional coordinates of all 9 atoms:
1 Ir 0.000 0.330 0.330
2 Ir 0.000 0.670 0.670
3 Ir 0.330 0.000 0.330
4 Ir 0.670 0.000 0.670
5 W 0.000 0.000 0.000
6 W 0.329 0.329 0.658
7 W 0.329 0.671 0.000
8 W 0.671 0.329 0.000
9 W 0.671 0.671 0.342

## Properties
calculated total energy: -11.214 eV per atom
space group: No. 139
energy relative to the lowest polymorph listed for this composition: 0.0 meV per atom
ΔH_f (0 K): -0.080 eV per atom
calculated volume: 15.431 A^3/atom



This record from Alexandria describes crystalline Li2Sm2BPt4 at its relaxed geometry. The functional is PBE.

Unit cell a=5.996 b=5.996 c=5.996 alpha=116.63 beta=116.63 gamma=95.95
Fractional coordinates of all 9 atoms:
1 Li 0.183 0.183 0.000
2 Li 0.817 0.817 0.000
3 Sm 0.250 0.750 0.500
4 Sm 0.750 0.250 0.500
5 B 0.500 0.500 0.000
6 Pt 0.262 0.262 0.523
7 Pt 0.262 0.738 0.000
8 Pt 0.738 0.262 0.000
9 Pt 0.738 0.738 0.477

## Properties
calculated total energy: -5.669 eV per atom
space group: No. 139
ΔH_f (0 K): -0.768 eV per atom
calculated volume: 17.700 A^3/atom



This record from Alexandria describes crystalline Nd4SmEr2Sc at its relaxed geometry. The functional is PBE.

Unit cell a=5.830 b=5.849 c=7.624 alpha=90.00 beta=90.00 gamma=90.00
Fractional coordinates of all 8 atoms:
1 Nd 0.000 0.000 0.236
2 Nd 0.000 0.000 0.764
3 Nd 0.500 0.500 0.237
4 Nd 0.500 0.500 0.763
5 Sm 0.000 0.500 0.500
6 Er 0.000 0.500 0.000
7 Er 0.500 0.000 0.500
8 Sc 0.500 0.000 0.000

## Properties
calculated total energy: -4.804 eV per atom
space group: No. 47
ΔH_f (0 K): 0.102 eV per atom
calculated volume: 32.495 A^3/atom



This record from Alexandria describes crystalline CrHg2 at its relaxed geometry. The functional is PBE.

Unit cell a=5.558 b=5.558 c=7.722 alpha=100.56 beta=100.56 gamma=33.09
Fractional coordinates of all 6 atoms:
1 Cr 0.000 0.000 0.000
2 Cr 0.633 0.633 0.212
3 Hg 0.110 0.110 0.510
4 Hg 0.364 0.364 0.241
5 Hg 0.400 0.400 0.676
6 Hg 0.706 0.706 0.877

## Properties
calculated total energy: -3.060 eV per atom
space group: No. 8
ΔH_f (0 K): 0.349 eV per atom
calculated volume: 21.302 A^3/atom



This record from Alexandria describes crystalline TlIn2CuPb at its relaxed geometry. The functional is PBE.

Unit cell a=5.163 b=5.163 c=5.367 alpha=90.00 beta=90.00 gamma=90.00
Fractional coordinates of all 5 atoms:
1 Tl 0.000 0.000 0.000
2 In 0.000 0.500 0.500
3 In 0.500 0.000 0.500
4 Cu 0.500 0.500 0.500
5 Pb 0.500 0.500 0.000

## Properties
calculated total energy: -2.981 eV per atom
space group: No. 123
energy relative to the lowest polymorph listed for this composition: 0.0 meV per atom
ΔH_f (0 K): 0.149 eV per atom
calculated volume: 28.609 A^3/atom



This record from Alexandria describes crystalline CsScOF2 at its relaxed geometry. The functional is PBE.

Unit cell a=5.136 b=5.136 c=4.582 alpha=90.00 beta=90.00 gamma=90.00
Fractional coordinates of all 5 atoms:
1 Cs 0.000 0.000 0.000
2 Sc 0.500 0.500 0.500
3 O 0.000 0.000 0.500
4 F 0.000 0.500 0.000
5 F 0.500 0.000 0.000

## Properties
E_form (uncorrected): -0.80 eV/atom
calculated total energy: -3.974 eV per atom
space group: No. 123
energy relative to the lowest polymorph listed for this composition: 2380.3 meV per atom
calculated volume: 24.177 A^3/atom



This record from Alexandria describes crystalline Sm2YHo4 at its relaxed geometry. The functional is PBE.

Unit cell a=6.101 b=6.594 c=11.554 alpha=90.00 beta=104.24 gamma=90.00
Fractional coordinates of all 14 atoms:
1 Sm 0.101 0.250 0.493
2 Sm 0.208 0.250 0.068
3 Sm 0.792 0.750 0.932
4 Sm 0.899 0.750 0.507
5 Y 0.352 0.750 0.346
6 Y 0.648 0.250 0.654
7 Ho 0.148 0.005 0.789
8 Ho 0.148 0.495 0.789
9 Ho 0.354 0.750 0.058
10 Ho 0.483 0.750 0.651
11 Ho 0.517 0.250 0.349
12 Ho 0.646 0.250 0.942
13 Ho 0.852 0.505 0.211
14 Ho 0.852 0.995 0.211

## Properties
calculated total energy: -4.752 eV per atom
space group: No. 11
energy relative to the lowest polymorph listed for this composition: 88.0 meV per atom
ΔH_f (0 K): 0.135 eV per atom
calculated volume: 32.186 A^3/atom



Q: The highest calculated volume belongs to which entry?
A: Nd4SmEr2Sc



Please write out number 11 again, unchanged.
This record from Alexandria describes crystalline CsScOF2 at its relaxed geometry. The functional is PBE.

Unit cell a=5.136 b=5.136 c=4.582 alpha=90.00 beta=90.00 gamma=90.00
Fractional coordinates of all 5 atoms:
1 Cs 0.000 0.000 0.000
2 Sc 0.500 0.500 0.500
3 O 0.000 0.000 0.500
4 F 0.000 0.500 0.000
5 F 0.500 0.000 0.000

## Properties
E_form (uncorrected): -0.80 eV/atom
calculated total energy: -3.974 eV per atom
space group: No. 123
energy relative to the lowest polymorph listed for this composition: 2380.3 meV per atom
calculated volume: 24.177 A^3/atom



Repeat the second record exactly.
This record from Alexandria describes crystalline Nd8CdIn5 at its relaxed geometry. The functional is PBE.

Unit cell a=8.314 b=8.314 c=8.314 alpha=109.55 beta=109.55 gamma=109.31
Fractional coordinates of all 14 atoms:
1 Nd 0.126 0.224 0.753
2 Nd 0.131 0.731 0.755
3 Nd 0.269 0.024 0.400
4 Nd 0.471 0.373 0.247
5 Nd 0.624 0.869 0.600
6 Nd 0.627 0.874 0.098
7 Nd 0.776 0.529 0.902
8 Nd 0.976 0.376 0.245
9 Cd 0.750 0.250 0.500
10 In 0.000 0.000 0.000
11 In 0.252 0.627 0.124
12 In 0.373 0.496 0.624
13 In 0.504 0.128 0.876
14 In 0.872 0.748 0.376

## Properties
calculated total energy: -4.072 eV per atom
space group: No. 82
ΔH_f (0 K): -0.304 eV per atom
calculated volume: 31.603 A^3/atom



Q: Number 3 is which compound?
A: K2ZrTlSe4